LiLaTm2Au4, relaxed, DFT PBE-GGA; ΔH_f (0 K) = -0.7638 eV/atom; total energy = -4.375 eV per atom; size of the total moment = 0.0 μB/f.u.
1.0
2.4759 1.4295 8.5707
-2.4759 1.4295 8.5707
0.0000 -2.8589 8.5707
Li La Tm Au
1 1 2 4
direct
0.0000 0.0000 0.0000
0.5000 0.5000 0.5000
0.2643 0.2643 0.2643
0.7357 0.7357 0.7357
0.1059 0.1059 0.1059
0.3782 0.3782 0.3782
0.6218 0.6218 0.6218
0.8941 0.8941 0.8941

=====

Pm3Sm2Ga4, relaxed, DFT PBE-GGA; ΔH_f (0 K) = -0.3836 eV/atom; total energy = -4.361 eV per atom; size of the total moment = 0.0 μB/f.u.; energy relative to the lowest polymorph listed for this composition = 144 meV per atom
1.0
3.5904 -7.7254 0.0000
3.5904 7.7254 0.0000
0.0000 0.0000 8.8686
Pm Sm Ga
6 4 8
direct
0.0000 0.0000 0.0000
0.0313 0.4687 0.2500
0.4687 0.0313 0.7500
0.5000 0.5000 0.5000
0.5313 0.9687 0.2500
0.9687 0.5313 0.7500
0.1055 0.8945 0.4300
0.3945 0.6055 0.9300
0.6055 0.3945 0.0700
0.8945 0.1055 0.5700
0.1913 0.8087 0.0303
0.2259 0.2741 0.2500
0.2741 0.2259 0.7500
0.3087 0.6913 0.5303
0.6913 0.3087 0.4697
0.7259 0.7741 0.2500
0.7741 0.7259 0.7500
0.8087 0.1913 0.9697